{"formula": "Ba8Rh3Cl4F", "functional": "PBE", "state": "optimized geometry", "e_form_raw_ev_per_atom": -1.3529, "dos_ef_per_ev_fu": 7.75, "energy_ev_per_fu": -68.3, "total_magnetization_mub_per_atom": 0.000, "cell": [[-5.025, -0.675, -7.297], [4.472, -8.006, -2.338], [-3.831, 0.455, 8.006]], "species": ["Ba", "Ba", "Ba", "Ba", "Ba", "Ba", "Ba", "Ba", "Rh", "Rh", "Rh", "Cl", "Cl", "Cl", "Cl", "F"], "fractional_positions": [[0.239, 0.712, 0.973], [0.240, 0.713, 0.479], [0.257, 0.270, 0.514], [0.734, 0.712, 0.973], [0.266, 0.288, 0.027], [0.743, 0.730, 0.486], [0.760, 0.287, 0.521], [0.761, 0.288, 0.027], [0.500, 0.500, 0.000], [0.500, 0.500, 0.500], [0.000, 0.500, 0.500], [0.500, 0.000, 0.000], [0.500, 0.000, 0.500], [0.000, 0.000, 0.000], [0.000, 0.000, 0.500], [0.000, 0.500, 0.000]]}

---

{"formula": "K2ZrMo", "functional": "PBE", "state": "optimized geometry", "relative_energy_mev_per_atom": 1213.6, "dos_ef_per_ev_fu": 2.69, "formation_energy_ev_per_fu": 7.6, "energy_ev_per_fu": -13.9, "total_magnetization_mub_per_atom": 0.436, "cell": [[-3.023, -1.002, 4.764], [-5.728, 0.048, -0.178], [-2.925, -4.896, 0.560]], "species": ["Mo", "K", "K", "Zr"], "fractional_positions": [[0.500, 0.500, 0.500], [0.250, 0.250, 0.250], [0.750, 0.750, 0.750], [0.000, 0.000, 0.000]]}

---

{"formula": "CsZnCl", "functional": "PBE", "state": "optimized geometry", "relative_energy_mev_per_atom": 33.9, "e_form_raw_ev_per_atom": -0.9790, "dos_ef_per_ev_fu": 0.57, "energy_ev_per_fu": -6.9, "total_magnetization_mub_per_atom": 0.000, "cell": [[9.384, 0.000, -0.078], [0.000, 4.922, 0.000], [-3.498, 0.000, 10.739]], "species": ["Cs", "Cs", "Cs", "Cs", "Zn", "Zn", "Zn", "Zn", "Cl", "Cl", "Cl", "Cl"], "fractional_positions": [[0.460, 0.000, 0.392], [0.460, 0.500, 0.892], [0.883, 0.000, 0.267], [0.883, 0.500, 0.767], [0.236, 0.000, 0.060], [0.236, 0.500, 0.560], [0.235, 0.000, 0.604], [0.235, 0.500, 0.104], [0.728, 0.000, 0.925], [0.728, 0.500, 0.425], [0.157, 0.000, 0.810], [0.157, 0.500, 0.310]]}

---

{"formula": "In2AsRh", "functional": "PBE", "state": "optimized geometry", "dos_ef_per_ev_fu": 0.00, "formation_energy_ev_per_fu": 1.0, "energy_ev_per_fu": -16.5, "total_magnetization_mub_per_atom": 0.000, "cell": [[6.148, 0.000, 0.000], [0.000, 6.148, 0.000], [3.074, 3.074, 6.070]], "species": ["As", "As", "Rh", "Rh", "In", "In", "In", "In"], "fractional_positions": [[0.500, 0.500, 0.000], [0.250, 0.750, 0.500], [0.000, 0.000, 0.000], [0.750, 0.250, 0.500], [0.635, 0.125, 0.250], [0.115, 0.625, 0.250], [0.375, 0.365, 0.750], [0.875, 0.885, 0.750]]}

---

{"formula": "AcLuCuPd", "functional": "PBE", "state": "optimized geometry", "dos_ef_per_ev_fu": 2.27, "formation_energy_ev_per_fu": -1.8, "energy_ev_per_fu": -19.7, "total_magnetization_mub_per_atom": 0.000, "cell": [[5.138, 0.000, 0.000], [2.569, 4.449, 0.000], [2.569, 1.483, 4.195]], "species": ["Ac", "Lu", "Pd", "Cu"], "fractional_positions": [[0.000, 0.000, 0.000], [0.500, 0.500, 0.500], [0.750, 0.750, 0.750], [0.250, 0.250, 0.250]]}

---

{"formula": "CePr2UN5", "functional": "PBE", "state": "optimized geometry", "e_form_raw_ev_per_atom": -1.2176, "dos_ef_per_ev_fu": 5.69, "energy_ev_per_fu": -79.4, "total_magnetization_mub_per_atom": 0.080, "cell": [[4.108, 0.000, 0.000], [0.000, 4.108, 0.000], [0.000, 0.000, 9.034]], "species": ["Ce", "Pr", "Pr", "U", "N", "N", "N", "N", "N"], "fractional_positions": [[0.000, 0.000, 0.000], [0.500, 0.500, 0.267], [0.500, 0.500, 0.733], [0.000, 0.000, 0.500], [0.000, 0.500, 0.500], [0.500, 0.000, 0.500], [0.000, 0.000, 0.753], [0.000, 0.000, 0.247], [0.500, 0.500, 0.000]]}

---

{"formula": "KLa4Tl5", "functional": "PBE", "state": "optimized geometry", "dos_ef_per_ev_fu": 8.97, "formation_energy_ev_per_fu": -3.5, "energy_ev_per_fu": -36.1, "total_magnetization_mub_per_atom": 0.000, "cell": [[-3.022, 1.717, -1.994], [-1.981, -3.483, 0.004], [-8.871, 5.063, 17.810]], "species": ["K", "La", "La", "La", "La", "Tl", "Tl", "Tl", "Tl", "Tl"], "fractional_positions": [[0.000, 0.000, 0.000], [0.000, 0.000, 0.209], [0.000, 0.000, 0.403], [0.000, 0.000, 0.597], [0.000, 0.000, 0.791], [0.500, 0.500, 0.121], [0.500, 0.500, 0.308], [0.500, 0.500, 0.500], [0.500, 0.500, 0.692], [0.500, 0.500, 0.879]]}

---

{"formula": "HfGa3S", "functional": "PBE", "state": "optimized geometry", "relative_energy_mev_per_atom": 331.8, "e_form_raw_ev_per_atom": 0.8340, "dos_ef_per_ev_fu": 6.45, "energy_ev_per_fu": -19.0, "total_magnetization_mub_per_atom": 0.000, "cell": [[5.296, 0.000, 0.000], [0.000, 5.296, 0.000], [0.000, 0.000, 5.296]], "species": ["S", "Hf", "Ga", "Ga", "Ga"], "fractional_positions": [[0.500, 0.500, 0.500], [0.000, 0.000, 0.000], [0.000, 0.500, 0.000], [0.000, 0.000, 0.500], [0.500, 0.000, 0.000]]}

---

{"formula": "LiSm4Th3S8", "functional": "PBE", "state": "optimized geometry", "e_form_raw_ev_per_atom": -1.8916, "dos_ef_per_ev_fu": 7.18, "energy_ev_per_fu": -106.3, "total_magnetization_mub_per_atom": 0.000, "cell": [[8.003, 0.000, 0.000], [0.000, 8.009, -0.001], [-4.001, -3.998, 5.662]], "species": ["Li", "Sm", "Sm", "Sm", "Sm", "Th", "Th", "Th", "S", "S", "S", "S", "S", "S", "S", "S"], "fractional_positions": [[0.000, 0.500, 0.000], [0.500, 0.000, 0.000], [0.500, 0.000, 0.500], [0.000, 0.000, 0.000], [0.000, 0.000, 0.500], [0.500, 0.500, 0.000], [0.500, 0.500, 0.500], [0.000, 0.500, 0.500], [0.243, 0.745, 0.002], [0.243, 0.745, 0.487], [0.248, 0.245, 0.496], [0.759, 0.745, 0.002], [0.241, 0.255, 0.998], [0.752, 0.755, 0.504], [0.757, 0.255, 0.513], [0.757, 0.255, 0.998]]}

---

{"formula": "TaZn2As", "functional": "PBE", "state": "optimized geometry", "dos_ef_per_ev_fu": 1.54, "formation_energy_ev_per_fu": 0.3, "energy_ev_per_fu": -18.7, "total_magnetization_mub_per_atom": 0.000, "cell": [[2.862, -0.036, 0.000], [-0.688, 2.779, 0.000], [0.000, 0.000, 9.092]], "species": ["As", "Ta", "Zn", "Zn"], "fractional_positions": [[0.000, 0.000, 0.536], [0.500, 0.500, 0.760], [0.000, 0.000, 0.991], [0.500, 0.500, 0.214]]}

---

{"formula": "Mg3CuH", "functional": "PBE", "state": "optimized geometry", "dos_ef_per_ev_fu": 1.54, "energy_ev_per_fu": -12.0, "total_magnetization_mub_per_atom": 0.000, "cell": [[-3.052, 2.934, -0.069], [-2.084, -2.096, 3.032], [2.067, 2.220, 2.955]], "species": ["H", "Mg", "Mg", "Mg", "Cu"], "fractional_positions": [[0.000, 0.000, 0.000], [0.000, 0.500, 0.000], [0.000, 0.000, 0.500], [0.500, 0.000, 0.000], [0.500, 0.500, 0.500]]}

---

{"formula": "Co4TcAg", "functional": "PBE", "state": "optimized geometry", "dos_ef_per_ev_fu": 12.11, "formation_energy_ev_per_fu": 1.9, "energy_ev_per_fu": -39.8, "total_magnetization_mub_per_atom": 1.381, "cell": [[0.000, 3.374, 3.374], [3.374, 0.000, 3.374], [3.374, 3.374, 0.000]], "species": ["Co", "Co", "Co", "Co", "Tc", "Ag"], "fractional_positions": [[0.874, 0.375, 0.375], [0.375, 0.375, 0.874], [0.375, 0.874, 0.375], [0.375, 0.375, 0.375], [0.750, 0.750, 0.750], [0.000, 0.000, 0.000]]}